! CdCo2Au | Alexandria via LeMat-Bulk | PBE-GGA | optimized geometry; values from VASP
&SYSTEM
  ibrav = 0, nat = 4, ntyp = 3
/
ATOMIC_SPECIES
Co 58.93 Co.upf
Au 196.97 Au.upf
Cd 112.41 Cd.upf
CELL_PARAMETERS angstrom
-3.200 -4.301 3.137
-0.319 0.344 -4.753
0.868 -2.652 -0.252
ATOMIC_POSITIONS angstrom
Co -1.166 -3.476 1.443
Co 0.000 0.000 0.000
Au 0.275 -1.154 -2.502
Cd -1.759 -1.978 -0.808
! Formation enthalpy at 0 K, eV per atom: 0.329
! SG: Cmmm (65)
! E_tot, eV/atom: -4.27
! ρ, Mg/m³: 11.74



! Cd2CoAu | Alexandria via LeMat-Bulk | PBE-GGA | optimized geometry; values from VASP
&SYSTEM
  ibrav = 0, nat = 4, ntyp = 3
/
ATOMIC_SPECIES
Cd 112.41 Cd.upf
Au 196.97 Au.upf
Co 58.93 Co.upf
CELL_PARAMETERS angstrom
9.396 -0.001 -0.001
8.928 2.931 -0.001
8.928 1.427 2.560
ATOMIC_POSITIONS angstrom
Cd 27.088 4.331 2.543
Cd 13.790 2.205 1.295
Au 20.439 3.268 1.919
Co 6.813 1.089 0.640
! Formation enthalpy at 0 K, eV per atom: 0.170
! SG: R-3m (166)
! E_tot, eV/atom: -2.88
! ρ, Mg/m³: 11.32
! Energy above the lowest structure with this stoichiometry, eV/atom: 0.043